Record 1
TaCrOs2 | PBE | relaxed

Cell: 3.156 3.156 6.026 Å, 90.00 90.00 90.00°
Fractional coordinates of all 4 atoms:
1 Ta 0.000 0.000 0.000
2 Cr 0.000 0.000 0.500
3 Os 0.500 0.500 0.263
4 Os 0.500 0.500 0.737

Computed properties:
**Theoretical density**: 16.97 g/cm³
**Raw total energy**: -0.405 hartree per atom
**V**: 15.01 Å³ per atom
**Size of the total moment**: 2.8 Bohr magnetons per cell
**SG**: P4/mmm (123)
**N(E_F)**: 4.192 states/eV/cell

=====

Record 2
Y2TeOs | PBE | relaxed

Cell: 4.143 4.143 6.309 Å, 90.00 90.00 90.00°
Fractional coordinates of all 4 atoms:
1 Y 0.000 0.000 0.000
2 Y 0.500 0.500 0.365
3 Te 0.500 0.500 0.857
4 Os 0.000 0.000 0.408

Computed properties:
**Theoretical density**: 7.60 g/cm³
**Raw total energy**: -0.266 hartree per atom
**V**: 27.07 Å³ per atom
**Size of the total moment**: 0.0 Bohr magnetons per cell
**SG**: P4mm (99)
**Formation energy without anion corrections**: -406.5 meV per atom
**N(E_F)**: 0.822 states/eV/cell

=====

Record 3
Cs8Hg2Au3 | PBE | relaxed

Cell: 11.080 11.080 8.960 Å, 107.17 107.17 55.31°
Fractional coordinates of all 13 atoms:
1 Cs 0.105 0.105 0.411
2 Cs 0.134 0.644 0.086
3 Cs 0.356 0.866 0.914
4 Cs 0.374 0.374 0.547
5 Cs 0.626 0.626 0.453
6 Cs 0.644 0.134 0.086
7 Cs 0.866 0.356 0.914
8 Cs 0.895 0.895 0.589
9 Hg 0.247 0.247 0.838
10 Hg 0.753 0.753 0.162
11 Au 0.000 0.000 0.000
12 Au 0.257 0.743 0.500
13 Au 0.743 0.257 0.500

Computed properties:
**Theoretical density**: 4.00 g/cm³
**Raw total energy**: -0.056 hartree per atom
**V**: 65.60 Å³ per atom
**Size of the total moment**: 0.0 Bohr magnetons per cell
**SG**: C2/m (12)
**N(E_F)**: 13.119 states/eV/cell

=====

Record 4
K3Th3Te8Pd | PBE | relaxed

Cell: 8.934 8.934 9.750 Å, 116.17 116.17 61.46°
Fractional coordinates of all 15 atoms:
1 K 0.000 0.000 0.000
2 K 0.000 0.500 0.000
3 K 0.500 0.000 0.000
4 Th 0.000 0.500 0.500
5 Th 0.500 0.000 0.500
6 Th 0.500 0.500 0.500
7 Te 0.212 0.212 0.687
8 Te 0.237 0.731 0.706
9 Te 0.260 0.260 0.280
10 Te 0.269 0.763 0.294
11 Te 0.731 0.237 0.706
12 Te 0.740 0.740 0.720
13 Te 0.763 0.269 0.294
14 Te 0.788 0.788 0.313
15 Pd 0.000 0.000 0.500

Computed properties:
**Theoretical density**: 5.49 g/cm³
**Raw total energy**: -0.174 hartree per atom
**V**: 39.12 Å³ per atom
**Size of the total moment**: 0.0 Bohr magnetons per cell
**SG**: C2/m (12)
**Formation energy without anion corrections**: -1023.1 meV per atom
**N(E_F)**: 5.020 states/eV/cell